First-principles (GGA+U) data for a geometry-optimized MnNbO3 structure, as listed in the Alexandria database.

Properties
crystal system = orthorhombic
calculated total energy = -8.503 eV/atom
magnetization = 4.57 μB per formula unit

a = 3.0130 Å, b = 5.6383 Å, c = 6.5060 Å
α = 90.00°, β = 90.00°, γ = 90.00°
With the nearest neighbours (Å) after each atom.
Fractional coordinates of all 10 atoms:
O 0.2500 0.4728 0.3404  3 Nb 2.19, 2 Mn 2.36
Mn 0.2500 0.7500 0.8604  2 O 2.09
O 0.7500 0.9728 0.6596  3 Nb 2.19, 2 Mn 2.36
O 0.7500 0.5272 0.6596  3 Nb 2.19, 2 Mn 2.36
O 0.2500 0.0272 0.3404  3 Nb 2.19, 2 Mn 2.36
O 0.2500 0.2500 0.9168  1 Nb 1.96, 2 Mn 2.09
Mn 0.7500 0.2500 0.1396  2 O 2.09
Nb 0.7500 0.7500 0.3839  7 O 1.96-2.19
O 0.7500 0.7500 0.0832  1 Nb 1.96, 2 Mn 2.09
Nb 0.2500 0.2500 0.6161  7 O 1.96-2.19